# UTl2Fe2O6

UTl2Fe2O6 after structural relaxation (PBE with a Hubbard U, Alexandria).

Output
The total energy comes out at -6.970 eV per atom. The calculation puts the size of the total moment at 8.0 μB per cell.

Geometry as CIF:
```
data_UTl2Fe2O6
_chemical_formula_sum 'U1 Tl2 Fe2 O6'
_cell_length_a 5.5681
_cell_length_b 5.5681
_cell_length_c 6.9943
_cell_angle_alpha 99.49
_cell_angle_beta 99.49
_cell_angle_gamma 117.98
_space_group_name_H-M_alt 'P 1'
_space_group_IT_number 1
loop_
_space_group_symop_operation_xyz
'x,y,z'
loop_
_atom_site_label
_atom_site_fract_x
_atom_site_fract_y
_atom_site_fract_z
Tl1 0.8241 0.1759 0.0000
Fe1 0.6614 0.3386 0.5000
Tl2 0.1759 0.8241 0.0000
O1 0.7444 0.7444 0.6666
O2 0.6214 0.9484 0.3341
O3 0.0516 0.3786 0.6659
O4 0.3786 0.0516 0.6659
Fe2 0.3386 0.6614 0.5000
O5 0.9484 0.6214 0.3341
U1 0.0000 0.0000 0.5000
O6 0.2556 0.2556 0.3334
```